Material: ZnHN2F
Method: DFT, GGA-PBEsol
State: relaxed

Cell lengths 3.955, 3.955, 3.963 Å; angles 90.00, 90.00, 90.00 degrees
Atoms (fractional coordinates):
Zn 0.000 0.000 0.000
H 0.500 0.500 0.500
N 0.000 0.500 0.000
N 0.500 0.000 0.000
F 0.000 0.000 0.500

Size of the total moment in μB per formula unit: 3.30
Offset from the most stable computed form in meV/atom: 559